First-principles (PBE) data for an optimized crystal structure of GdAlO3, as listed in the Alexandria database.

Output
E_form (uncorrected): -3.271 eV per atom

Cell lengths 5.368, 7.511, 5.285 Å; angles 90.00, 90.00, 90.00 degrees
Fractional positions:
Gd  0.044  0.250  0.010
Gd  0.456  0.750  0.510
Gd  0.544  0.250  0.490
Gd  0.956  0.750  0.990
Al  0.000  0.000  0.500
Al  0.000  0.500  0.500
Al  0.500  0.000  0.000
Al  0.500  0.500  0.000
O  0.017  0.750  0.423
O  0.212  0.541  0.787
O  0.212  0.959  0.787
O  0.288  0.041  0.287
O  0.288  0.459  0.287
O  0.483  0.250  0.923
O  0.517  0.750  0.077
O  0.712  0.541  0.713
O  0.712  0.959  0.713
O  0.788  0.041  0.213
O  0.788  0.459  0.213
O  0.983  0.250  0.577

=====

First-principles (PBE) data for an optimized crystal structure of GdAlO3, as listed in the Alexandria database.

Output
E_form (uncorrected): -3.195 eV per atom

Cell lengths 3.737, 3.737, 3.737 Å; angles 90.00, 90.00, 90.00 degrees
Fractional positions:
Gd  0.000  0.000  0.000
Al  0.500  0.500  0.500
O  0.000  0.500  0.500
O  0.500  0.000  0.500
O  0.500  0.500  0.000

=====

First-principles (PBE) data for an optimized crystal structure of Gd3Sc2Al3O12, as listed in the Alexandria database.

Output
E_form (uncorrected): -3.369 eV per atom

Cell lengths 10.848, 10.848, 10.848 Å; angles 109.47, 109.47, 109.47 degrees
Fractional positions:
Gd  0.125  0.250  0.375
Gd  0.125  0.375  0.750
Gd  0.250  0.375  0.125
Gd  0.250  0.875  0.625
Gd  0.375  0.125  0.250
Gd  0.375  0.750  0.125
Gd  0.625  0.250  0.875
Gd  0.625  0.875  0.750
Gd  0.750  0.125  0.375
Gd  0.750  0.625  0.875
Gd  0.875  0.625  0.250
Gd  0.875  0.750  0.625
Sc  0.000  0.000  0.000
Sc  0.000  0.000  0.500
Sc  0.000  0.500  0.000
Sc  0.000  0.500  0.500
Sc  0.500  0.000  0.000
Sc  0.500  0.000  0.500
Sc  0.500  0.500  0.000
Sc  0.500  0.500  0.500
Al  0.125  0.750  0.875
Al  0.125  0.875  0.250
Al  0.250  0.125  0.875
Al  0.250  0.625  0.375
Al  0.375  0.250  0.625
Al  0.375  0.625  0.750
Al  0.625  0.375  0.250
Al  0.625  0.750  0.375
Al  0.750  0.375  0.625
Al  0.750  0.875  0.125
Al  0.875  0.125  0.750
Al  0.875  0.250  0.125
O  0.023  0.212  0.124
O  0.023  0.312  0.899
O  0.088  0.712  0.688
O  0.088  0.876  0.399
O  0.101  0.624  0.412
O  0.101  0.977  0.688
O  0.124  0.023  0.212
O  0.124  0.601  0.912
O  0.188  0.212  0.588
O  0.188  0.477  0.601
O  0.212  0.124  0.023
O  0.212  0.588  0.188
O  0.288  0.312  0.912
O  0.288  0.477  0.376
O  0.312  0.899  0.023
O  0.312  0.912  0.288
O  0.376  0.288  0.477
O  0.376  0.588  0.899
O  0.399  0.088  0.876
O  0.399  0.812  0.523
O  0.412  0.101  0.624
O  0.412  0.812  0.788
O  0.477  0.376  0.288
O  0.477  0.601  0.188
O  0.523  0.399  0.812
O  0.523  0.624  0.712
O  0.588  0.188  0.212
O  0.588  0.899  0.376
O  0.601  0.188  0.477
O  0.601  0.912  0.124
O  0.624  0.412  0.101
O  0.624  0.712  0.523
O  0.688  0.088  0.712
O  0.688  0.101  0.977
O  0.712  0.523  0.624
O  0.712  0.688  0.088
O  0.788  0.412  0.812
O  0.788  0.876  0.977
O  0.812  0.523  0.399
O  0.812  0.788  0.412
O  0.876  0.399  0.088
O  0.876  0.977  0.788
O  0.899  0.023  0.312
O  0.899  0.376  0.588
O  0.912  0.124  0.601
O  0.912  0.288  0.312
O  0.977  0.688  0.101
O  0.977  0.788  0.876

=====

First-principles (PBE) data for an optimized crystal structure of SrGd2Al2O7, as listed in the Alexandria database.

Output
E_form (uncorrected): -3.206 eV per atom

Cell lengths 10.287, 10.287, 10.287 Å; angles 159.05, 159.05, 29.80 degrees
Fractional positions:
Sr  0.000  0.000  0.000
Gd  0.182  0.182  0.000
Gd  0.818  0.818  0.000
Al  0.405  0.405  0.000
Al  0.595  0.595  0.000
O  0.104  0.604  0.500
O  0.296  0.296  0.000
O  0.396  0.896  0.500
O  0.500  0.500  0.000
O  0.604  0.104  0.500
O  0.704  0.704  0.000
O  0.896  0.396  0.500

=====

First-principles (PBE) data for an optimized crystal structure of GdAlOs, as listed in the Alexandria database.

Cell lengths 4.352, 4.352, 3.702 Å; angles 90.00, 90.00, 120.00 degrees
Fractional positions:
Gd  0.000  0.000  0.000
Al  0.667  0.333  0.500
Os  0.333  0.667  0.500

=====

First-principles (PBE) data for an optimized crystal structure of GdAlOs, as listed in the Alexandria database.

Cell lengths 5.882, 5.882, 5.882 Å; angles 147.71, 147.71, 46.31 degrees
Fractional positions:
Gd  0.000  0.000  0.000
Al  0.283  0.283  0.000
Os  0.677  0.677  0.000

=====

Mass density list, top to bottom, in g/cm3: 7.2, 7.4, 5.6, 6.8, 10.2, 10.7
Magnetic moment list, top to bottom, in μB/atom: 1.39, 1.40, 1.05, 1.16, 2.33, 2.34
Energy list, top to bottom, in eV per atom: -9.8106, -9.7342, -9.6504, -9.2087, -9.9643, -9.9787